## ZrNbIO2 (PBE)

Data for a geometry-optimized ZrNbIO2 structure.

Geometry as CIF:
```
data_ZrNbIO2
_cell_length_a 4.039
_cell_length_b 4.039
_cell_length_c 5.948
_cell_angle_alpha 90.00
_cell_angle_beta 90.00
_cell_angle_gamma 90.00
_space_group_name_H-M_alt 'P 4/m m m'
_space_group_IT_number 123
_space_group_name_Hall '-P 4 2'
loop_
_atom_site_label
_atom_site_fract_x
_atom_site_fract_y
_atom_site_fract_z
Zr1 0.000 0.000 0.000
Nb1 0.500 0.500 0.500
I1 0.500 0.500 0.000
O1 0.000 0.500 0.500
```

Output
Total energy (eV/atom): -6.7976